## SrPuH3 (PBE)

Data for a relaxed structure of SrPuH3.

a b c (Å): 4.3760 4.3760 4.3760
angles (deg): 90.00 90.00 90.00
Each line ends with the local moment (μB).
Fractional positions:
Pu: 0.0000 0.0000 0.0000  5.34
H: 0.0000 0.0000 0.5000  -0.02
Sr: 0.5000 0.5000 0.5000  0.10
H: 0.0000 0.5000 0.0000  -0.02
H: 0.5000 0.0000 0.0000  -0.02

Calculated values
* space group: Pm-3m, No. 221
* uncorrected energy: -26.913 eV per formula unit
* Fermi-level density of states: 2.073 states/eV/atom